Below is a relaxed structure of LiInPb3, with properties calculated at the PBE level.

Summary:
ΔH_f (0 K): -0.07 eV/atom
E_tot: -3.2226 eV per atom
ΔE to the lowest computed polymorph: 0.0 kJ/mol of atoms

Cell lengths 6.953, 6.160, 13.529 Å; angles 90.00, 107.41, 90.00 degrees
Fractional coordinates of all 20 atoms:
Li (0.841, 0.554, 0.300)
Li (0.659, 0.054, 0.200)
Li (0.159, 0.446, 0.700)
Li (0.341, 0.946, 0.800)
In (0.484, 0.597, 0.115)
In (0.016, 0.097, 0.385)
In (0.516, 0.403, 0.885)
In (0.984, 0.903, 0.615)
Pb (0.220, 0.618, 0.484)
Pb (0.280, 0.118, 0.016)
Pb (0.780, 0.382, 0.516)
Pb (0.720, 0.882, 0.984)
Pb (0.867, 0.153, 0.800)
Pb (0.633, 0.653, 0.700)
Pb (0.133, 0.847, 0.200)
Pb (0.367, 0.347, 0.300)
Pb (0.589, 0.869, 0.408)
Pb (0.911, 0.369, 0.092)
Pb (0.411, 0.131, 0.592)
Pb (0.089, 0.631, 0.908)